Here is LuBeFe4 after structural relaxation from Alexandria. Energies are from PBE-GGA.

## Properties
DOS at the Fermi energy: 26.3 states/eV per cell
ΔH_f (0 K): 38 kJ/mol of formula units
Raw total energy: -0.255 hartree per atom

a = 6.7960 Å, b = 6.7960 Å, c = 6.7960 Å
α = 90.00°, β = 90.00°, γ = 90.00°
With the nearest neighbours (Å) after each atom.
Space group F-43m (No. 216)
Inequivalent atoms, fractional coordinates:
Lu (0.0000, 0.0000, 0.0000) (multiplicity 4)  12 Fe 2.82, 4 Be 2.94
Be (0.2500, 0.2500, 0.7500) (multiplicity 4)  12 Fe 2.81, 4 Lu 2.94
Fe (0.1236, 0.1236, 0.3764) (multiplicity 16)  6 Fe 2.38-2.43